(1)
Computed, not measured: crystalline Sr3Eu at its relaxed geometry at the PBEsol level of DFT.

Computed properties:
VASP energy (eV/atom): -3.976
SG: No. 194
Calculated formation energy (eV/atom): 0.04

POSCAR file:
```
Sr3Eu
1.0
8.200 0.000 0.000
-4.100 7.101 0.000
0.000 0.000 6.735
Sr Eu
6 2
Direct
0.169 0.337 0.250
0.169 0.831 0.250
0.337 0.169 0.750
0.663 0.831 0.250
0.831 0.169 0.750
0.831 0.663 0.750
0.333 0.667 0.750
0.667 0.333 0.250
```

=====

(2)
Computed, not measured: crystalline SrAuBr at its relaxed geometry at the PBEsol level of DFT.

Computed properties:
E_form (uncorrected) (eV per atom): -1.0872
VASP energy (eV/atom): -3.632
SG: No. 216

POSCAR file:
```
SrAuBr
1.0
0.000 3.623 3.623
3.623 0.000 3.623
3.623 3.623 0.000
Sr Au Br
1 1 1
Direct
0.000 0.000 0.000
0.750 0.750 0.750
0.250 0.250 0.250
```

=====

The records above give, respectively, Fermi-level density of states values of 28.7, 0.0 states/eV/cell.